{
  "formula": "Sr2Cd",
  "functional": "PBE",
  "state": "optimized geometry",
  "cell": [[11.105, 0.000, 0.000], [5.553, 9.618, 0.000], [5.553, 3.206, 9.068]],
  "species": ["Cd", "Sr", "Sr", "Cd", "Sr", "Sr", "Sr", "Cd", "Sr", "Sr", "Sr", "Cd", "Sr", "Sr", "Sr", "Cd", "Sr", "Sr", "Cd", "Sr", "Cd", "Sr", "Cd", "Sr"],
  "fractional_positions": [[0.360, 0.713, 0.213], [0.685, 0.065, 0.185], [0.685, 0.065, 0.565], [0.713, 0.713, 0.213], [0.500, 0.000, 0.000], [0.685, 0.685, 0.565], [0.500, 0.500, 0.500], [0.713, 0.360, 0.213], [0.315, 0.315, 0.435], [0.935, 0.935, 0.815], [0.065, 0.685, 0.565], [0.287, 0.287, 0.787], [0.935, 0.315, 0.435], [0.000, 0.500, 0.000], [0.065, 0.685, 0.185], [0.640, 0.287, 0.787], [0.315, 0.935, 0.815], [0.065, 0.065, 0.185], [0.287, 0.287, 0.140], [0.500, 0.500, 0.000], [0.713, 0.713, 0.860], [0.315, 0.935, 0.435], [0.287, 0.640, 0.787], [0.935, 0.315, 0.815]],
  "formation_enthalpy_0k_kj_per_mol_atoms": -17.81,
  "n_ef_per_ev_atom": 1.19
}

***

{
  "formula": "Sr5Cd2",
  "functional": "PBE",
  "state": "optimized geometry",
  "cell": [[7.610, 0.001, 0.000], [0.001, 8.776, 0.036], [-3.805, -1.308, 9.334]],
  "species": ["Sr", "Cd", "Sr", "Cd", "Cd", "Sr", "Sr", "Sr", "Sr", "Sr", "Sr", "Cd", "Sr", "Sr"],
  "fractional_positions": [[0.023, 0.076, 0.817], [0.591, 0.920, 0.782], [0.191, 0.690, 0.561], [0.409, 0.080, 0.218], [0.191, 0.420, 0.782], [0.369, 0.190, 0.561], [0.631, 0.810, 0.439], [0.411, 0.750, 0.000], [0.589, 0.250, 0.000], [0.206, 0.424, 0.183], [0.809, 0.310, 0.439], [0.809, 0.580, 0.218], [0.977, 0.924, 0.183], [0.794, 0.576, 0.817]],
  "formation_enthalpy_0k_kj_per_mol_atoms": -17.26,
  "n_ef_per_ev_atom": 1.22
}

***

{
  "formula": "Sr3Cd",
  "functional": "PBE",
  "state": "optimized geometry",
  "cell": [[-3.420, -2.740, -6.351], [1.632, -5.970, 4.608], [-5.725, 0.611, 2.819]],
  "species": ["Cd", "Sr", "Cd", "Sr", "Sr", "Sr", "Sr", "Sr"],
  "fractional_positions": [[0.600, 0.600, 0.750], [0.226, 0.226, 0.750], [0.400, 0.400, 0.250], [0.667, 0.070, 0.750], [0.774, 0.774, 0.250], [0.070, 0.667, 0.750], [0.930, 0.333, 0.250], [0.333, 0.930, 0.250]],
  "formation_enthalpy_0k_kj_per_mol_atoms": -3.19,
  "n_ef_per_ev_atom": 0.76
}

***

{
  "formula": "Sr5Cd",
  "functional": "PBE",
  "state": "optimized geometry",
  "cell": [[6.363, 0.000, 0.000], [0.000, 4.695, 0.000], [0.000, -2.348, 9.361]],
  "species": ["Sr", "Cd", "Sr", "Sr", "Sr", "Sr"],
  "fractional_positions": [[0.000, 0.354, 0.707], [0.000, 0.000, 0.000], [0.000, 0.646, 0.293], [0.500, 0.833, 0.665], [0.500, 0.500, 0.000], [0.500, 0.167, 0.335]],
  "formation_enthalpy_0k_kj_per_mol_atoms": -3.36,
  "n_ef_per_ev_atom": 1.26
}

***

{
  "formula": "SrCd4",
  "functional": "PBE",
  "state": "optimized geometry",
  "cell": [[-2.922, 5.890, -0.197], [-5.041, -2.612, -3.321], [-3.052, -1.324, 5.674]],
  "species": ["Cd", "Cd", "Sr", "Cd", "Cd"],
  "fractional_positions": [[0.500, 0.500, 0.000], [0.500, 0.000, 0.500], [0.500, 0.500, 0.500], [0.000, 0.000, 0.000], [0.000, 0.500, 0.500]],
  "formation_enthalpy_0k_kj_per_mol_atoms": 51.34,
  "n_ef_per_ev_atom": 0.79
}

***

{
  "formula": "Sr3Cd",
  "functional": "PBE",
  "state": "optimized geometry",
  "cell": [[-2.487, -5.441, 3.704], [4.074, 1.837, 5.434], [-5.169, 4.066, 2.501]],
  "species": ["Sr", "Sr", "Sr", "Sr", "Sr", "Sr", "Cd", "Cd"],
  "fractional_positions": [[0.000, 0.250, 0.500], [0.500, 0.000, 0.750], [0.750, 0.500, 0.000], [0.000, 0.750, 0.500], [0.500, 0.000, 0.250], [0.250, 0.500, 0.000], [0.000, 0.000, 0.000], [0.500, 0.500, 0.500]],
  "formation_enthalpy_0k_kj_per_mol_atoms": 0.35,
  "n_ef_per_ev_atom": 1.51
}